Entry 1:
Here is a geometry-optimized Na4LiTl15 structure from the Alexandria database. Energies are from PBE-GGA.

Summary:
Symmetry: No. 123
VASP energy: -2.203 eV per atom

a = 4.806 Å, b = 4.806 Å, c = 24.818 Å
α = 90.00°, β = 90.00°, γ = 90.00°
Fractional positions:
Na1 0.000 0.000 0.101
Na2 0.000 0.000 0.305
Na3 0.000 0.000 0.695
Na4 0.000 0.000 0.899
Li1 0.000 0.000 0.500
Tl1 0.000 0.500 0.000
Tl2 0.000 0.500 0.203
Tl3 0.000 0.500 0.406
Tl4 0.000 0.500 0.594
Tl5 0.000 0.500 0.797
Tl6 0.500 0.000 0.000
Tl7 0.500 0.000 0.203
Tl8 0.500 0.000 0.406
Tl9 0.500 0.000 0.594
Tl10 0.500 0.000 0.797
Tl11 0.500 0.500 0.102
Tl12 0.500 0.500 0.304
Tl13 0.500 0.500 0.500
Tl14 0.500 0.500 0.696
Tl15 0.500 0.500 0.898

Entry 2:
Here is a geometry-optimized Na4LiTl5 structure from the Alexandria database. Energies are from PBE-GGA.

Summary:
Symmetry: No. 123
VASP energy: -2.020 eV per atom

a = 3.490 Å, b = 3.490 Å, c = 22.115 Å
α = 90.00°, β = 90.00°, γ = 90.00°
Fractional positions:
Na1 0.000 0.000 0.105
Na2 0.000 0.000 0.317
Na3 0.000 0.000 0.683
Na4 0.000 0.000 0.895
Li1 0.000 0.000 0.500
Tl1 0.500 0.500 0.000
Tl2 0.500 0.500 0.211
Tl3 0.500 0.500 0.421
Tl4 0.500 0.500 0.579
Tl5 0.500 0.500 0.789

Entry 3:
Here is a geometry-optimized NaLi2Tl structure from the Alexandria database. Energies are from PBE-GGA.

Summary:
Energy relative to the lowest polymorph listed for this composition: 53 kJ/mol of formula units
Symmetry: No. 122
VASP energy: -1.886 eV per atom

a = 6.430 Å, b = 6.430 Å, c = 6.430 Å
α = 103.77°, β = 103.77°, γ = 121.61°
Fractional positions:
Na1 0.000 0.000 0.000
Na2 0.750 0.250 0.500
Li1 0.144 0.625 0.019
Li2 0.375 0.394 0.519
Li3 0.606 0.125 0.981
Li4 0.875 0.856 0.481
Tl1 0.250 0.750 0.500
Tl2 0.500 0.500 0.000